No. 1
An optimized crystal structure of TbThTcAg, computed with PBE.

Cell and atoms, written as POSCAR:
```
TbThTcAg
1.0
0.0000 3.5931 3.5931
3.5931 0.0000 3.5931
3.5931 3.5931 0.0000
Tb Th Tc Ag
1 1 1 1
direct
0.0000 0.0000 0.0000 Tb
0.5000 0.5000 0.5000 Th
0.7500 0.7500 0.7500 Tc
0.2500 0.2500 0.2500 Ag
```

ΔE_f in eV per formula unit: -0.41

No. 2
An optimized crystal structure of TbYTcAg, computed with PBE.

Cell and atoms, written as POSCAR:
```
TbYTcAg
1.0
0.0000 3.5269 3.5269
3.5269 0.0000 3.5269
3.5269 3.5269 0.0000
Tb Y Tc Ag
1 1 1 1
direct
0.0000 0.0000 0.0000 Tb
0.5000 0.5000 0.5000 Y
0.2500 0.2500 0.2500 Tc
0.7500 0.7500 0.7500 Ag
```

ΔE_f in eV per formula unit: -0.42

No. 3
An optimized crystal structure of TbZrTcAg, computed with PBE.

Cell and atoms, written as POSCAR:
```
TbZrTcAg
1.0
0.0000 3.4410 3.4410
3.4410 0.0000 3.4410
3.4410 3.4410 0.0000
Tb Zr Tc Ag
1 1 1 1
direct
0.0000 0.0000 0.0000 Tb
0.5000 0.5000 0.5000 Zr
0.2500 0.2500 0.2500 Tc
0.7500 0.7500 0.7500 Ag
```

ΔE_f in eV per formula unit: -0.48

No. 4
An optimized crystal structure of Tb5AgTe4, computed with PBE.

Cell and atoms, written as POSCAR:
```
Tb5AgTe4
1.0
-4.8530 4.8530 3.0919
4.8530 -4.8530 3.0919
4.8530 4.8530 -3.0919
Tb Ag Te
5 1 4
direct
0.0000 0.0000 0.0000 Tb
0.2118 0.5996 0.8128 Tb
0.3990 0.2118 0.6122 Tb
0.5996 0.7868 0.3878 Tb
0.7868 0.3990 0.1872 Tb
0.5001 0.5001 0.0000 Ag
0.0923 0.3042 0.3980 Te
0.3042 0.9062 0.2119 Te
0.6943 0.0923 0.7881 Te
0.9062 0.6943 0.6020 Te
```

Uncorrected formation energy in eV/atom: -1.106

No. 5
An optimized crystal structure of TbAg3Te3, computed with PBE.

Cell and atoms, written as POSCAR:
```
TbAg3Te3
1.0
3.9368 2.2729 7.3330
-3.9368 2.2729 7.3330
0.0000 -4.5458 7.3330
Tb Ag Te
2 6 6
direct
0.1675 0.1675 0.1675 Tb
0.8325 0.8325 0.8325 Tb
0.0123 0.7272 0.3752 Ag
0.2728 0.6248 0.9877 Ag
0.3752 0.0123 0.7272 Ag
0.6248 0.9877 0.2728 Ag
0.7272 0.3752 0.0123 Ag
0.9877 0.2728 0.6248 Ag
0.1054 0.4263 0.7474 Te
0.2526 0.8946 0.5737 Te
0.4263 0.7474 0.1054 Te
0.5737 0.2526 0.8946 Te
0.7474 0.1054 0.4263 Te
0.8946 0.5737 0.2526 Te
```

Uncorrected formation energy in eV/atom: -0.551

No. 6
An optimized crystal structure of TbAgTe, computed with PBE.

Cell and atoms, written as POSCAR:
```
TbAgTe
1.0
4.0836 -2.2911 0.0000
4.0836 2.2911 0.0000
-2.8321 0.0000 10.4555
Tb Ag Te
2 2 2
direct
0.0601 0.0601 0.1871 Tb
0.9399 0.9399 0.8129 Tb
0.3287 0.3287 0.9798 Ag
0.6713 0.6713 0.0202 Ag
0.2212 0.2212 0.6760 Te
0.7788 0.7788 0.3240 Te
```

Uncorrected formation energy in eV/atom: -0.739

No. 7
An optimized crystal structure of Tb2AgTe3, computed with PBE.

Cell and atoms, written as POSCAR:
```
Tb2AgTe3
1.0
-1.9930 2.5675 8.7185
1.9930 -2.5675 8.7185
1.9930 2.5675 -8.7185
Tb Ag Te
2 1 3
direct
0.1412 0.1412 0.0000 Tb
0.8588 0.8588 0.0000 Tb
0.5000 0.5000 0.0000 Ag
0.0000 0.5000 0.5000 Te
0.3208 0.3208 0.0000 Te
0.6792 0.6792 0.0000 Te
```

Uncorrected formation energy in eV/atom: -0.888

No. 8
An optimized crystal structure of Tb2Ag4Te5, computed with PBE.

Cell and atoms, written as POSCAR:
```
Tb2Ag4Te5
1.0
2.2320 1.2886 19.1068
-2.2320 1.2886 19.1068
0.0000 -2.5773 19.1068
Tb Ag Te
2 4 5
direct
0.1357 0.1357 0.1357 Tb
0.8643 0.8643 0.8643 Tb
0.3159 0.3159 0.3159 Ag
0.4154 0.4154 0.4154 Ag
0.5846 0.5846 0.5846 Ag
0.6841 0.6841 0.6841 Ag
0.2284 0.2284 0.2284 Te
0.3678 0.3678 0.3678 Te
0.5000 0.5000 0.5000 Te
0.6322 0.6322 0.6322 Te
0.7716 0.7716 0.7716 Te
```

Uncorrected formation energy in eV/atom: -0.537

No. 9
An optimized crystal structure of Tb3AgTe4, computed with PBE.

Cell and atoms, written as POSCAR:
```
Tb3AgTe4
1.0
2.1866 1.2624 14.2789
-2.1866 1.2624 14.2789
0.0000 -2.5249 14.2789
Tb Ag Te
3 1 4
direct
0.0000 0.0000 0.0000 Tb
0.2497 0.2497 0.2497 Tb
0.7503 0.7503 0.7503 Tb
0.5000 0.5000 0.5000 Ag
0.1257 0.1257 0.1257 Te
0.3750 0.3750 0.3750 Te
0.6250 0.6250 0.6250 Te
0.8743 0.8743 0.8743 Te
```

Uncorrected formation energy in eV/atom: -1.081

No. 10
An optimized crystal structure of Tb5AgTe2, computed with PBE.

Cell and atoms, written as POSCAR:
```
Tb5AgTe2
1.0
2.9837 -6.4476 0.0000
2.9837 6.4476 0.0000
0.0000 0.0000 12.8813
Tb Ag Te
10 2 4
direct
0.0499 0.9501 0.6127 Tb
0.0499 0.9501 0.8873 Tb
0.3735 0.6265 0.2500 Tb
0.3852 0.6148 0.5675 Tb
0.3852 0.6148 0.9325 Tb
0.6148 0.3852 0.0675 Tb
0.6148 0.3852 0.4325 Tb
0.6265 0.3735 0.7500 Tb
0.9501 0.0499 0.1127 Tb
0.9501 0.0499 0.3873 Tb
0.2378 0.7622 0.7500 Ag
0.7622 0.2378 0.2500 Ag
0.1909 0.8091 0.0886 Te
0.1909 0.8091 0.4114 Te
0.8091 0.1909 0.5886 Te
0.8091 0.1909 0.9114 Te
```

Uncorrected formation energy in eV/atom: -0.498

No. 11
An optimized crystal structure of TbAg2Te3, computed with PBE.

Cell and atoms, written as POSCAR:
```
TbAg2Te3
1.0
7.1418 0.0000 0.0000
0.0000 4.2811 0.0000
-2.5450 0.0000 12.4986
Tb Ag Te
2 4 6
direct
0.0174 0.2500 0.2926 Tb
0.9826 0.7500 0.7074 Tb
0.0082 0.2500 0.9163 Ag
0.1483 0.2500 0.5559 Ag
0.8517 0.7500 0.4441 Ag
0.9918 0.7500 0.0837 Ag
0.2562 0.2500 0.1225 Te
0.2687 0.7500 0.4384 Te
0.2865 0.2500 0.7801 Te
0.7135 0.7500 0.2199 Te
0.7313 0.2500 0.5616 Te
0.7438 0.7500 0.8775 Te
```

Uncorrected formation energy in eV/atom: -0.560

No. 12
An optimized crystal structure of Tb4AgTe3, computed with PBE.

Cell and atoms, written as POSCAR:
```
Tb4AgTe3
1.0
4.4560 -6.1578 0.0000
4.4560 6.1578 0.0000
0.0000 0.0000 4.2355
Tb Ag Te
4 1 3
direct
0.2356 0.2356 0.5000 Tb
0.2447 0.7553 0.0000 Tb
0.7553 0.2447 0.0000 Tb
0.7644 0.7644 0.5000 Tb
0.0000 0.0000 0.0000 Ag
0.0000 0.5000 0.5000 Te
0.5000 0.0000 0.5000 Te
0.5000 0.5000 0.0000 Te
```

Uncorrected formation energy in eV/atom: -1.044

No. 13
An optimized crystal structure of Tb7Ag2Te2, computed with PBE.

Cell and atoms, written as POSCAR:
```
Tb7Ag2Te2
1.0
4.0509 -5.3872 0.0000
4.0509 5.3872 0.0000
0.0000 0.0000 7.6493
Tb Ag Te
7 2 2
direct
0.0000 0.0000 0.0000 Tb
0.0000 0.5000 0.2849 Tb
0.0000 0.5000 0.7151 Tb
0.5000 0.0000 0.2849 Tb
0.5000 0.0000 0.7151 Tb
0.5000 0.5000 0.2757 Tb
0.5000 0.5000 0.7243 Tb
0.1765 0.1765 0.5000 Ag
0.8235 0.8235 0.5000 Ag
0.2849 0.7151 0.0000 Te
0.7151 0.2849 0.0000 Te
```

Uncorrected formation energy in eV/atom: -0.272

No. 14
An optimized crystal structure of TbAg2Te3, computed with PBE.

Cell and atoms, written as POSCAR:
```
TbAg2Te3
1.0
11.0959 -2.1458 0.0000
11.0959 2.1458 0.0000
-0.6837 0.0000 7.7643
Tb Ag Te
2 4 6
direct
0.1513 0.1513 0.0462 Tb
0.8487 0.8487 0.9538 Tb
0.2059 0.2059 0.4405 Ag
0.4571 0.4571 0.8414 Ag
0.5429 0.5429 0.1586 Ag
0.7941 0.7941 0.5595 Ag
0.0809 0.0809 0.3720 Te
0.2544 0.2544 0.7864 Te
0.4141 0.4141 0.1749 Te
0.5859 0.5859 0.8251 Te
0.7456 0.7456 0.2136 Te
0.9191 0.9191 0.6280 Te
```

Uncorrected formation energy in eV/atom: -0.583

No. 15
An optimized crystal structure of Tb4AgTe5, computed with PBE.

Cell and atoms, written as POSCAR:
```
Tb4AgTe5
1.0
9.5742 -2.1459 0.0000
9.5742 2.1459 0.0000
-2.5036 0.0000 8.8656
Tb Ag Te
4 1 5
direct
0.0009 0.0009 0.2664 Tb
0.3268 0.3268 0.9090 Tb
0.6732 0.6732 0.0910 Tb
0.9991 0.9991 0.7336 Tb
0.5000 0.5000 0.0000 Ag
0.1599 0.1599 0.3130 Te
0.1635 0.1635 0.8415 Te
0.5000 0.5000 0.5000 Te
0.8365 0.8365 0.1585 Te
0.8401 0.8401 0.6870 Te
```

Uncorrected formation energy in eV/atom: -1.033

No. 16
An optimized crystal structure of Tb3AgTe6, computed with PBE.

Cell and atoms, written as POSCAR:
```
Tb3AgTe6
1.0
6.1664 -6.8191 0.0000
6.1664 6.8191 0.0000
0.0000 0.0000 7.6463
Tb Ag Te
6 2 12
direct
0.1008 0.8992 0.5000 Tb
0.2315 0.4217 0.4022 Tb
0.4217 0.2315 0.9022 Tb
0.5783 0.7685 0.4022 Tb
0.7685 0.5783 0.9022 Tb
0.8992 0.1008 0.0000 Tb
0.2714 0.7286 0.8592 Ag
0.7286 0.2714 0.3592 Ag
0.0407 0.5917 0.6673 Te
0.1226 0.2045 0.6986 Te
0.2045 0.1226 0.1986 Te
0.2726 0.7274 0.2241 Te
0.4083 0.9593 0.6673 Te
0.4633 0.5367 0.6983 Te
0.5367 0.4633 0.1983 Te
0.5917 0.0407 0.1673 Te
0.7274 0.2726 0.7241 Te
0.7955 0.8774 0.6986 Te
0.8774 0.7955 0.1986 Te
0.9593 0.4083 0.1673 Te
```

Uncorrected formation energy in eV/atom: -0.978

No. 17
An optimized crystal structure of Tb6AgTe5, computed with PBE.

Cell and atoms, written as POSCAR:
```
Tb6AgTe5
1.0
3.7790 -6.5428 0.0000
3.7790 6.5428 0.0000
-2.5299 0.0000 7.1081
Tb Ag Te
6 1 5
direct
0.0774 0.3969 0.7372 Tb
0.2351 0.2351 0.2532 Tb
0.3969 0.0774 0.7372 Tb
0.6031 0.9226 0.2628 Tb
0.7649 0.7649 0.7468 Tb
0.9226 0.6031 0.2628 Tb
0.0000 0.0000 0.5000 Ag
0.1756 0.8244 0.0000 Te
0.3363 0.6637 0.5000 Te
0.5000 0.5000 0.0000 Te
0.6637 0.3363 0.5000 Te
0.8244 0.1756 0.0000 Te
```

Uncorrected formation energy in eV/atom: -1.153

No. 18
An optimized crystal structure of Tb5AgTe5, computed with PBE.

Cell and atoms, written as POSCAR:
```
Tb5AgTe5
1.0
6.8515 -3.0917 0.0000
6.8515 3.0917 0.0000
-2.7697 0.0000 8.2053
Tb Ag Te
5 1 5
direct
0.0000 0.0000 0.0000 Tb
0.3358 0.3358 0.1654 Tb
0.3368 0.3368 0.6682 Tb
0.6632 0.6632 0.3318 Tb
0.6642 0.6642 0.8346 Tb
0.5000 0.5000 0.0000 Ag
0.1637 0.1637 0.8265 Te
0.1690 0.1690 0.3364 Te
0.5000 0.5000 0.5000 Te
0.8310 0.8310 0.6636 Te
0.8363 0.8363 0.1735 Te
```

Uncorrected formation energy in eV/atom: -1.144

No. 19
An optimized crystal structure of Tb3TiAg3Te8, computed with PBE.

Cell and atoms, written as POSCAR:
```
Tb3TiAg3Te8
1.0
7.4707 -4.3137 0.0000
7.4707 4.3137 0.0000
-4.9984 0.0000 7.1525
Tb Ti Ag Te
3 1 3 8
direct
0.0000 0.0000 0.0000 Tb
0.0000 0.5000 0.0000 Tb
0.5000 0.0000 0.0000 Tb
0.5000 0.5000 0.0000 Ti
0.0000 0.5000 0.5000 Ag
0.5000 0.0000 0.5000 Ag
0.5000 0.5000 0.5000 Ag
0.2533 0.2533 0.2592 Te
0.2670 0.2670 0.7633 Te
0.2670 0.7285 0.7633 Te
0.2715 0.7330 0.2367 Te
0.7285 0.2670 0.7633 Te
0.7330 0.2715 0.2367 Te
0.7330 0.7330 0.2367 Te
0.7467 0.7467 0.7408 Te
```

Uncorrected formation energy in eV/atom: -0.769

No. 20
An optimized crystal structure of Tb3TlAg2Te6, computed with PBE.

Cell and atoms, written as POSCAR:
```
Tb3TlAg2Te6
1.0
10.7824 -2.2611 0.0000
10.7824 2.2611 0.0000
-3.3192 0.0000 8.7773
Tb Tl Ag Te
3 1 2 6
direct
0.0000 0.0000 0.0000 Tb
0.3360 0.3360 0.6955 Tb
0.6640 0.6640 0.3045 Tb
0.0000 0.0000 0.5000 Tl
0.2720 0.2720 0.2976 Ag
0.7280 0.7280 0.7024 Ag
0.1518 0.1518 0.0660 Te
0.1680 0.1680 0.5513 Te
0.4848 0.4848 0.7639 Te
0.5152 0.5152 0.2361 Te
0.8320 0.8320 0.4487 Te
0.8482 0.8482 0.9340 Te
```

Uncorrected formation energy in eV/atom: -0.921